SmBC2: relaxed, PBE.

Unit cell a=7.3707 b=3.6650 c=4.1269 alpha=90.00 beta=90.00 gamma=90.00
Closest atoms and distances in Å follow each position.
Sites, in units of the cell vectors:
1 Sm 0.2500 0.0000 0.2353  4 C 2.62, 4 B 2.75-2.76
2 Sm 0.7500 0.0000 0.7647  4 C 2.62, 4 B 2.75-2.76
3 B 0.2500 0.5000 0.7336  2 C 1.49
4 B 0.7500 0.5000 0.2664  2 C 1.49
5 C 0.0729 0.5000 0.9087  1 C 1.31
6 C 0.4271 0.5000 0.9087  1 C 1.31
7 C 0.5729 0.5000 0.0913  1 C 1.31
8 C 0.9271 0.5000 0.0913  1 C 1.31

**ΔE to the lowest computed polymorph**: 0 meV per atom
**Total magnetization**: 0.00 Bohr magnetons per cell
**DFT formation energy**: 0.026 eV per atom